[1]
The following is a DFT calculation (GGA-PBE) of Mg6TlIn2 after structural relaxation.

Results
The calculation puts the energy of formation at -56 meV/atom. For the density of states at the Fermi level, the calculation gives 3.8 states/eV/cell. The volume comes out at 23.5 Å³/atom.

Lattice parameters (Å, degrees): 5.5101 5.5101 9.5896 104.05 104.05 48.94
Positions (direct):
Mg1 0.0077 0.0077 0.3342
Mg2 0.3388 0.3388 0.1102
Mg3 0.3390 0.3390 0.4454
Mg4 0.6610 0.6610 0.5546
Mg5 0.6612 0.6612 0.8898
Mg6 0.9923 0.9923 0.6658
Tl1 0.0000 0.0000 0.0000
In1 0.3150 0.3150 0.7628
In2 0.6850 0.6850 0.2372


[2]
The following is a DFT calculation (GGA-PBE) of PuSc3Fe after structural relaxation.

Results
As for the energy above the most stable polymorph in this dataset: 84 meV per atom. The calculation puts the energy of formation at 113 meV/atom. For the density of states at the Fermi level, the calculation gives 9.0 states/eV/cell. The volume comes out at 23.6 Å³/atom.

Lattice parameters (Å, degrees): 4.9070 4.9070 4.9070 90.00 90.00 90.00
Positions (direct):
Pu1 0.0000 0.0000 0.0000
Sc1 0.0000 0.5000 0.5000
Sc2 0.5000 0.0000 0.5000
Sc3 0.5000 0.5000 0.0000
Fe1 0.5000 0.5000 0.5000


[3]
The following is a DFT calculation (GGA-PBE) of Ca2MgHg after structural relaxation.

Results
As for the energy above the most stable polymorph in this dataset: 185 meV per atom. The calculation puts the energy of formation at -138 meV/atom. For the density of states at the Fermi level, the calculation gives 3.0 states/eV/cell. The volume comes out at 32.6 Å³/atom.

Lattice parameters (Å, degrees): 10.1852 10.1852 10.1852 22.04 22.04 22.04
Positions (direct):
Ca1 0.0000 0.0000 0.0000
Ca2 0.2238 0.2238 0.2238
Mg1 0.7556 0.7556 0.7556
Hg1 0.4828 0.4828 0.4828


[4]
The following is a DFT calculation (GGA-PBE) of Tb3PmAl3 after structural relaxation.

Results
The calculation puts the energy of formation at -261 meV/atom. For the density of states at the Fermi level, the calculation gives 9.0 states/eV/cell. The volume comes out at 26.6 Å³/atom.

Lattice parameters (Å, degrees): 7.3173 7.3173 6.9648 90.00 90.00 90.90
Positions (direct):
Tb1 0.2378 0.2378 0.0000
Tb2 0.2444 0.7556 0.0000
Tb3 0.2501 0.7499 0.5000
Tb4 0.7499 0.2501 0.5000
Tb5 0.7556 0.2444 0.0000
Tb6 0.7622 0.7622 0.0000
Pm1 0.2428 0.2428 0.5000
Pm2 0.7572 0.7572 0.5000
Al1 0.0000 0.5000 0.2425
Al2 0.0000 0.5000 0.7575
Al3 0.5000 0.0000 0.2425
Al4 0.5000 0.0000 0.7575
Al5 0.5000 0.5000 0.2356
Al6 0.5000 0.5000 0.7644


[5]
The following is a DFT calculation (GGA-PBE) of TbNd2Co2 after structural relaxation.

Results
As for the energy above the most stable polymorph in this dataset: 0 meV per atom. The calculation puts the energy of formation at -84 meV/atom. For the density of states at the Fermi level, the calculation gives 10.0 states/eV/cell. The volume comes out at 24.0 Å³/atom.

Lattice parameters (Å, degrees): 6.2482 6.2482 7.3781 100.82 100.82 58.53
Positions (direct):
Tb1 0.0772 0.9228 0.7500
Tb2 0.9228 0.0772 0.2500
Nd1 0.2340 0.4528 0.3512
Nd2 0.4528 0.2340 0.8512
Nd3 0.5472 0.7660 0.1488
Nd4 0.7660 0.5472 0.6488
Co1 0.0209 0.3134 0.0165
Co2 0.3134 0.0209 0.5165
Co3 0.6866 0.9791 0.4835
Co4 0.9791 0.6866 0.9835


[6]
The following is a DFT calculation (GGA-PBE) of Li2ZnCdF6 after structural relaxation.

Results
Its formation energy without anion corrections is -2.518 eV/atom. For the density of states at the Fermi level, the calculation gives 0.0 states/eV/cell. The volume comes out at 11.8 Å³/atom.

Lattice parameters (Å, degrees): 5.6940 5.6940 5.6940 55.70 55.70 55.70
Positions (direct):
Li1 0.0000 0.0000 0.0000
Li2 0.4957 0.4957 0.4957
Zn1 0.7045 0.7045 0.7045
Cd1 0.2110 0.2110 0.2110
F1 0.1052 0.4174 0.7791
F2 0.2948 0.8807 0.6422
F3 0.4174 0.7791 0.1052
F4 0.6422 0.2948 0.8807
F5 0.7791 0.1052 0.4174
F6 0.8807 0.6422 0.2948


[7]
The following is a DFT calculation (GGA-PBE) of Cs2KHg3 after structural relaxation.

Results
The calculation puts the energy of formation at -215 meV/atom. For the density of states at the Fermi level, the calculation gives 7.1 states/eV/cell. The volume comes out at 50.7 Å³/atom.

Lattice parameters (Å, degrees): 10.5987 10.5987 6.2414 90.00 90.00 60.12
Positions (direct):
Cs1 0.0009 0.3338 0.2500
Cs2 0.3338 0.0009 0.7500
Cs3 0.6662 0.9991 0.2500
Cs4 0.9991 0.6662 0.7500
K1 0.3326 0.6674 0.2500
K2 0.6674 0.3326 0.7500
Hg1 0.0000 0.0000 0.0000
Hg2 0.0000 0.0000 0.5000
Hg3 0.3453 0.3453 0.0000
Hg4 0.3453 0.3453 0.5000
Hg5 0.6547 0.6547 0.0000
Hg6 0.6547 0.6547 0.5000


[8]
The following is a DFT calculation (GGA-PBE) of Li2InFe after structural relaxation.

Results
The calculation puts the energy of formation at 142 meV/atom. For the density of states at the Fermi level, the calculation gives 3.2 states/eV/cell. The volume comes out at 16.6 Å³/atom.

Lattice parameters (Å, degrees): 2.9488 2.9488 7.6181 90.00 90.00 90.00
Positions (direct):
Li1 0.0000 0.0000 0.0000
Li2 0.5000 0.5000 0.2619
In1 0.5000 0.5000 0.7345
Fe1 0.0000 0.0000 0.4819